1.
19
Lattice="3.782 2.184 3.649 -3.782 2.184 3.649 0.000 -4.367 3.649" Properties=species:S:1:pos:R:3 comment="CeBe17Ir, relaxed, DFT PBE" e_form_ev_per_atom=-0.051 m_tot_mub_per_cell=0.00 dft_energy_ev_per_atom=-4.164 pbc="T T T"
Ce 0.000 0.000 0.000
Be 0.000 -2.132 1.828
Be -1.846 1.066 1.828
Be -1.955 -1.129 5.369
Be 0.000 -2.025 5.152
Be -1.754 1.013 5.152
Be -1.047 -1.940 7.152
Be -2.204 0.063 7.152
Be 1.846 1.066 1.828
Be 0.000 0.000 6.079
Be 1.047 -1.940 7.152
Be -1.157 1.877 7.152
Be 1.955 -1.129 5.369
Be 0.000 2.257 5.369
Be 0.000 0.000 8.190
Be 1.754 1.013 5.152
Be 2.204 0.063 7.152
Be 1.157 1.877 7.152
Ir 0.000 0.000 3.655


2.
9
Lattice="0.000 4.184 4.184 4.184 0.000 4.184 4.184 4.184 0.000" Properties=species:S:1:pos:R:3 comment="Ce2BeIr6, relaxed, DFT PBE" e_form_ev_per_atom=-0.591 m_tot_mub_per_cell=0.00 dft_energy_ev_per_atom=-8.231 pbc="T T T"
Ce 2.092 2.092 2.092
Ce 6.276 6.276 6.276
Be 0.000 0.000 0.000
Ir 4.184 4.184 2.199
Ir 4.184 2.199 4.184
Ir 6.169 4.184 4.184
Ir 2.199 4.184 4.184
Ir 4.184 6.169 4.184
Ir 4.184 4.184 6.169


3.
4
Lattice="1.953 1.127 4.890 -1.953 1.127 4.890 0.000 -2.255 4.890" Properties=species:S:1:pos:R:3 comment="CeBe2Ir, relaxed, DFT PBE" e_form_ev_per_atom=-0.411 m_tot_mub_per_cell=0.71 dft_energy_ev_per_atom=-5.973 pbc="T T T"
Ce 0.000 0.000 0.000
Be 0.000 0.000 2.864
Be 0.000 0.000 11.805
Ir 0.000 0.000 7.335


4.
8
Lattice="3.777 0.000 0.000 0.000 3.777 0.000 0.000 0.000 7.986" Properties=species:S:1:pos:R:3 comment="CeBeIrN, relaxed, DFT PBE" m_tot_mub_per_cell=1.30 formation_energy_uncorrected_mev_per_atom=-1012 dft_energy_ev_per_atom=-7.724 pbc="T T T"
Ce 0.944 0.944 1.295
Ce 2.832 2.832 6.692
Be 0.944 0.944 5.353
Be 2.832 2.832 2.633
Ir 0.944 2.832 3.993
Ir 2.832 0.944 3.993
N 0.944 0.944 6.980
N 2.832 2.832 1.007


5.
12
Lattice="5.095 0.000 0.000 -2.547 4.412 0.000 0.000 0.000 6.306" Properties=species:S:1:pos:R:3 comment="CeBe2IrO8, relaxed, DFT PBE" m_tot_mub_per_cell=0.49 formation_energy_uncorrected_mev_per_atom=-1544 dft_energy_ev_per_atom=-6.704 pbc="T T T"
Ce 0.000 0.000 0.000
Be 0.000 2.941 1.395
Be 2.547 1.471 4.911
Ir 0.000 0.000 3.153
O 0.000 1.450 1.937
O -1.291 3.687 1.937
O 1.256 0.725 4.369
O 0.000 2.941 6.113
O 2.547 1.471 0.193
O 1.291 3.687 1.937
O 3.838 0.725 4.369
O 2.547 2.962 4.369


6.
10
Lattice="4.405 -4.406 0.000 4.405 4.406 0.000 -4.397 0.000 4.411" Properties=species:S:1:pos:R:3 comment="Ce2BeSiIr6, relaxed, DFT PBE" m_tot_mub_per_cell=0.61 formation_energy_uncorrected_mev_per_atom=-396 dft_energy_ev_per_atom=-7.814 pbc="T T T"
Ce 4.405 2.203 0.000
Ce 4.405 -2.203 0.000
Be -2.198 0.000 2.205
Si 2.206 0.000 2.205
Ir -0.072 0.000 2.206
Ir 2.206 2.279 2.205
Ir -2.195 0.000 4.336
Ir 6.607 0.000 0.075
Ir 2.206 -2.279 2.205
Ir 4.484 0.000 2.205


7.
10
Lattice="3.999 0.000 0.000 0.000 3.999 0.000 0.000 0.000 9.666" Properties=species:S:1:pos:R:3 comment="Ce2Be3Si4Ir, relaxed, DFT PBE" m_tot_mub_per_cell=0.00 formation_energy_uncorrected_mev_per_atom=-552 dft_energy_ev_per_atom=-5.912 pbc="T T T"
Ce 0.000 2.000 2.355
Ce 2.000 0.000 7.311
Be 0.000 2.000 8.449
Be 2.000 0.000 1.217
Be 2.000 2.000 4.833
Si 0.000 0.000 0.000
Si 0.000 2.000 6.160
Si 2.000 0.000 3.506
Si 2.000 2.000 0.000
Ir 0.000 0.000 4.833


8.
5
Lattice="-1.989 1.989 5.099 1.989 -1.989 5.099 1.989 1.989 -5.099" Properties=species:S:1:pos:R:3 comment="CeBeSi2Ir, relaxed, DFT PBE" m_tot_mub_per_cell=0.16 formation_energy_uncorrected_mev_per_atom=-731 dft_energy_ev_per_atom=-6.605 pbc="T T T"
Ce 0.000 0.000 0.000
Be 1.989 0.000 2.550
Si 0.000 0.000 3.886
Si 0.000 0.000 6.313
Ir 0.000 1.989 2.550


9.
5
Lattice="-1.957 1.960 4.981 1.957 -1.960 4.981 1.957 1.960 -4.981" Properties=species:S:1:pos:R:3 comment="CeBe2SiIr, relaxed, DFT PBE" m_tot_mub_per_cell=0.00 formation_energy_uncorrected_mev_per_atom=-514 dft_energy_ev_per_atom=-6.048 pbc="T T T"
Ce 0.000 0.000 0.000
Be 0.000 0.000 3.761
Be 0.000 1.960 2.507
Si 0.000 0.000 6.208
Ir 1.957 0.000 2.629


10.
10
Lattice="4.096 0.000 0.000 0.000 4.096 0.000 0.000 0.000 10.057" Properties=species:S:1:pos:R:3 comment="Ce2Be3SnIr4, relaxed, DFT PBE" e_form_ev_per_atom=-0.574 m_tot_mub_per_cell=0.00 dft_energy_ev_per_atom=-6.823 pbc="T T T"
Ce 0.000 2.048 2.247
Ce 2.048 0.000 7.809
Be 0.000 2.048 8.980
Be 2.048 0.000 1.077
Be 2.048 2.048 5.028
Sn 0.000 0.000 5.028
Ir 0.000 0.000 0.000
Ir 0.000 2.048 6.642
Ir 2.048 0.000 3.415
Ir 2.048 2.048 0.000


11.
12
Lattice="-2.674 7.126 2.980 2.674 -7.126 2.980 2.674 7.126 -2.980" Properties=species:S:1:pos:R:3 comment="Ce2BeZnIr2, relaxed, DFT PBE" e_form_ev_per_atom=-0.564 m_tot_mub_per_cell=0.00 dft_energy_ev_per_atom=-6.329 pbc="T T T"
Ce 1.296 2.307 0.000
Ce 1.296 -2.307 2.980
Ce 1.378 9.432 0.000
Ce 1.378 4.819 2.980
Be 2.674 0.000 1.490
Be 0.000 7.126 1.490
Zn 0.000 0.000 1.490
Zn 0.000 0.000 4.470
Ir 3.892 1.672 0.000
Ir 1.218 5.454 0.000
Ir 1.457 1.672 2.980
Ir -1.218 5.454 2.980


12.
16
Lattice="6.401 0.000 0.000 0.000 7.368 0.000 0.000 0.000 5.592" Properties=species:S:1:pos:R:3 comment="K2CeBeO4, relaxed, DFT PBE" m_tot_mub_per_cell=0.00 formation_energy_uncorrected_mev_per_atom=-2305 dft_energy_ev_per_atom=-6.266 pbc="T T T"
K 1.551 1.046 0.000
K 1.649 6.322 2.796
K 4.752 6.322 2.796
K 4.849 1.046 0.000
Ce 0.000 2.945 2.669
Ce 3.200 4.423 5.465
Be 0.000 4.904 5.418
Be 3.200 2.464 2.622
O 0.000 3.374 0.556
O 0.000 4.697 3.773
O 1.467 5.723 0.195
O 1.733 1.645 2.991
O 3.200 2.671 0.977
O 3.200 3.995 3.353
O 4.667 1.645 2.991
O 4.933 5.723 0.195


13.
16
Lattice="6.337 -3.380 0.000 6.337 3.380 0.000 -3.641 0.000 6.316" Properties=species:S:1:pos:R:3 comment="K4Ce3BeO8, relaxed, DFT PBE" m_tot_mub_per_cell=2.01 formation_energy_uncorrected_mev_per_atom=-2341 dft_energy_ev_per_atom=-6.439 pbc="T T T"
K 0.000 0.000 0.000
K 3.168 1.690 0.000
K 3.168 -1.690 0.000
K 6.337 0.000 0.000
Ce -1.820 0.000 3.158
Ce 1.348 1.690 3.158
Ce 1.348 -1.690 3.158
Be 4.517 0.000 3.158
O 0.256 0.000 4.378
O 1.842 0.000 1.702
O 3.579 1.399 4.090
O 5.454 1.399 2.225
O 3.579 -1.399 4.090
O 5.454 -1.399 2.225
O 7.191 0.000 4.614
O 8.777 0.000 1.937


14.
15
Lattice="5.961 -3.442 0.000 5.961 3.442 0.000 -3.975 0.000 6.278" Properties=species:S:1:pos:R:3 comment="K3Ce3BeO8, relaxed, DFT PBE" m_tot_mub_per_cell=1.12 formation_energy_uncorrected_mev_per_atom=-2499 dft_energy_ev_per_atom=-6.798 pbc="T T T"
K 0.000 0.000 0.000
K 2.981 1.721 0.000
K 2.981 -1.721 0.000
Ce 0.993 1.721 3.139
Ce 0.993 -1.721 3.139
Ce 3.974 0.000 3.139
Be -1.988 0.000 3.139
O -0.140 0.000 4.179
O 3.047 1.825 4.188
O 4.900 1.825 2.089
O 1.986 0.000 1.925
O 5.961 0.000 4.352
O 3.047 -1.825 4.188
O 4.900 -1.825 2.089
O 8.087 0.000 2.099


15.
12
Lattice="3.397 -6.376 0.000 3.397 6.376 0.000 -2.230 0.000 7.311" Properties=species:S:1:pos:R:3 comment="K3Ce2BeS6, relaxed, DFT PBE" m_tot_mub_per_cell=1.03 formation_energy_uncorrected_mev_per_atom=-1412 dft_energy_ev_per_atom=-5.050 pbc="T T T"
K 0.000 0.000 0.000
K 3.397 2.015 0.000
K 3.397 -2.015 0.000
Ce 2.282 4.220 3.656
Ce 2.282 -4.220 3.656
Be 2.282 0.000 3.656
S 1.082 2.272 2.068
S 0.531 0.000 4.768
S 1.082 -2.272 2.068
S 3.482 2.272 5.243
S 4.033 0.000 2.543
S 3.482 -2.272 5.243


16.
16
Lattice="7.210 -4.011 0.000 7.210 4.011 0.000 -4.652 0.000 7.355" Properties=species:S:1:pos:R:3 comment="K4Ce3BeS8, relaxed, DFT PBE" m_tot_mub_per_cell=2.01 formation_energy_uncorrected_mev_per_atom=-1490 dft_energy_ev_per_atom=-5.174 pbc="T T T"
K 0.000 0.000 0.000
K 3.605 2.006 0.000
K 3.605 -2.006 0.000
K 7.210 0.000 0.000
Ce -2.326 0.000 3.678
Ce 1.279 2.006 3.678
Ce 1.279 -2.006 3.678
Be 4.884 0.000 3.678
S 0.058 0.000 5.215
S 2.244 0.000 2.048
S 3.814 1.734 4.978
S 5.954 1.734 2.377
S 3.814 -1.734 4.978
S 5.954 -1.734 2.377
S 7.524 0.000 5.308
S 9.710 0.000 2.140


17.
12
Lattice="9.401 0.000 0.000 0.000 4.118 0.000 -2.592 0.000 9.171" Properties=species:S:1:pos:R:3 comment="KCeBeSe3, relaxed, DFT PBE" m_tot_mub_per_cell=2.00 formation_energy_uncorrected_mev_per_atom=-1328 dft_energy_ev_per_atom=-4.864 pbc="T T T"
K 1.219 1.029 2.082
K 5.590 3.088 7.089
Ce 0.949 3.088 7.738
Ce 5.860 1.029 1.433
Be -0.857 1.029 5.530
Be 7.666 3.088 3.641
Se -1.171 1.029 7.711
Se 0.207 3.088 4.787
Se 3.778 3.088 1.504
Se 3.031 1.029 7.666
Se 6.602 1.029 4.384
Se 7.980 3.088 1.460


18.
16
Lattice="7.471 -4.188 0.000 7.471 4.188 0.000 -4.887 0.000 7.656" Properties=species:S:1:pos:R:3 comment="K4Ce3BeSe8, relaxed, DFT PBE" m_tot_mub_per_cell=2.01 formation_energy_uncorrected_mev_per_atom=-1395 dft_energy_ev_per_atom=-4.757 pbc="T T T"
K 0.000 0.000 0.000
K 3.735 2.094 0.000
K 3.735 -2.094 0.000
K 7.471 0.000 0.000
Ce -2.443 0.000 3.828
Ce 1.292 2.094 3.828
Ce 1.292 -2.094 3.828
Be 5.028 0.000 3.828
Se 0.030 0.000 5.455
Se 2.377 0.000 2.149
Se 3.915 1.827 5.225
Se 6.140 1.827 2.431
Se 3.915 -1.827 5.225
Se 6.140 -1.827 2.431
Se 7.679 0.000 5.507
Se 10.025 0.000 2.201


19.
15
Lattice="7.043 -4.379 0.000 7.043 4.379 0.000 -4.500 0.000 7.702" Properties=species:S:1:pos:R:3 comment="K3Ce3BeSe8, relaxed, DFT PBE" m_tot_mub_per_cell=1.11 formation_energy_uncorrected_mev_per_atom=-1379 dft_energy_ev_per_atom=-4.892 pbc="T T T"
K 0.000 0.000 0.000
K 3.521 2.189 0.000
K 3.521 -2.189 0.000
Ce 1.272 2.189 3.851
Ce 1.272 -2.189 3.851
Ce 4.793 0.000 3.851
Be -2.250 0.000 3.851
Se -0.437 0.000 5.076
Se 3.548 2.000 5.487
Se 2.382 0.000 2.227
Se 6.039 2.000 2.215
Se 3.548 -2.000 5.487
Se 7.205 0.000 5.474
Se 6.039 -2.000 2.215
Se 10.023 0.000 2.626


20.
28
Lattice="0.000 5.161 5.161 5.161 0.000 5.161 5.161 5.161 0.000" Properties=species:S:1:pos:R:3 comment="LaCeBe26, relaxed, DFT PBE" e_form_ev_per_atom=-0.155 m_tot_mub_per_cell=0.29 dft_energy_ev_per_atom=-4.003 pbc="T T T"
La 0.000 0.000 0.000
Ce 5.161 5.161 5.161
Be 5.930 3.746 2.598
Be 7.723 4.391 3.746
Be 6.575 2.598 4.391
Be 6.575 5.930 2.598
Be 4.391 2.598 3.746
Be 7.723 3.746 5.930
Be 2.580 2.580 2.580
Be 3.746 4.391 2.598
Be 7.723 6.575 4.391
Be 5.930 2.598 6.575
Be 4.391 6.575 2.598
Be 3.746 2.598 5.930
Be 7.723 5.930 6.575
Be 5.930 7.723 3.746
Be 2.598 3.746 4.391
Be 6.575 4.391 7.723
Be 2.598 5.930 3.746
Be 6.575 7.723 5.930
Be 4.391 3.746 7.723
Be 7.741 7.741 7.741
Be 3.746 7.723 4.391
Be 2.598 4.391 6.575
Be 5.930 6.575 7.723
Be 2.598 6.575 5.930
Be 4.391 7.723 6.575
Be 3.746 5.930 7.723